# La4Re, single point on PBEsol structure, DFT SCAN
data_La4Re
_chemical_formula_sum 'La8 Re2'
_cell_length_a 3.8872
_cell_length_b 3.8872
_cell_length_c 20.2902
_cell_angle_alpha 90.00
_cell_angle_beta 90.00
_cell_angle_gamma 90.00
_symmetry_space_group_name_H-M 'I 4/m m m'
_symmetry_Int_Tables_number 139
_symmetry_space_group_name_Hall '-I 4 2'
loop_
_atom_site_label
_atom_site_type_symbol
_atom_site_fract_x
_atom_site_fract_y
_atom_site_fract_z
_atom_site_occupancy
La1 La 0.0000 0.0000 0.0779 1
La2 La 0.0000 0.5000 0.2500 1
Re1 Re 0.0000 0.0000 0.5000 1
# Crystal system = tetragonal
# Total energy = -47.93 eV per atom
# Distance to the lowest polymorph of the same formula = 593 meV/atom